9
Lattice="4.726 0.000 0.000 -2.363 6.645 0.122 0.000 -0.669 8.219" Properties=species:S:1:pos:R:3 comment="Cs2B2S5 (PBE-GGA, optimized geometry)" crystal_system=monoclinic e_form_raw_mev_per_atom=-573 pbc="T T T"
Cs 0.000 4.802 5.756
Cs 2.363 1.174 2.585
B 0.000 0.989 7.265
B 2.363 4.987 1.076
S 0.000 3.094 0.263
S 2.363 2.882 8.078
S 0.000 1.089 5.536
S 2.363 4.887 2.805
S 0.000 0.000 0.000